This record from the Alexandria database describes a geometry-optimized ScMn2CdAs structure. The functional is PBE.

Results
formation enthalpy at 0 K	6.3	eV/f.u.
N(E_F)	3.73	states/eV/cell

Cell lengths 4.617, 4.617, 5.360 Å; angles 90.00, 90.00, 90.00 degrees
Positions (direct):
Sc  0.000  0.000  0.000
Mn  0.000  0.500  0.000
Mn  0.500  0.000  0.000
Cd  0.000  0.000  0.500
As  0.500  0.500  0.500